[1]
Here is FeSnMoOs after structural relaxation from OQMD. Energies are from PBE.

a b c (Å): 4.444 4.444 4.444
angles (deg): 60.00 60.00 60.00
Sites, in units of the cell vectors:
Mo  0.500  0.500  0.500
Fe  0.750  0.750  0.750
Sn  0.000  0.000  0.000
Os  0.250  0.250  0.250

Properties
final energy: -8.325 eV per atom
ρ: 12.326 g/cm3

---

[2]
Here is HfCdFeSi after structural relaxation from OQMD. Energies are from PBE.

a b c (Å): 4.526 4.526 4.526
angles (deg): 60.00 60.00 60.00
Sites, in units of the cell vectors:
Cd  0.500  0.500  0.500
Fe  0.750  0.750  0.750
Hf  0.250  0.250  0.250
Si  0.000  0.000  0.000

Properties
final energy: -5.990 eV per atom
ρ: 9.493 g/cm3

---

[3]
Here is K2Ir2O5 after structural relaxation from OQMD. Energies are from PBE.

a b c (Å): 8.576 3.843 3.843
angles (deg): 90.00 90.00 90.00
Sites, in units of the cell vectors:
Ir  0.748  0.500  0.500
Ir  0.252  0.500  0.500
O  0.768  0.500  0.000
O  0.768  0.000  0.500
O  0.232  0.000  0.500
O  0.232  0.500  0.000
O  0.500  0.500  0.500
K  0.500  0.000  0.000
K  0.000  0.000  0.000

Properties
final energy: -5.811 eV per atom
ρ: 7.116 g/cm3

---

[4]
Here is RbNpIr after structural relaxation from OQMD. Energies are from PBE.

a b c (Å): 4.964 4.964 4.964
angles (deg): 60.00 60.00 60.00
Sites, in units of the cell vectors:
Rb  0.250  0.250  0.250
Np  0.750  0.750  0.750
Ir  0.000  0.000  0.000

Properties
final energy: -6.599 eV per atom
ρ: 9.884 g/cm3

---

[5]
Here is Mo2C after structural relaxation from OQMD. Energies are from PBE.

a b c (Å): 3.064 3.064 4.668
angles (deg): 90.00 90.00 120.00
Sites, in units of the cell vectors:
C  0.000  0.000  0.000
Mo  0.333  0.667  0.250
Mo  0.667  0.333  0.750

Properties
final energy: -10.353 eV per atom
ρ: 8.921 g/cm3

---

[6]
Here is AlCoAs after structural relaxation from OQMD. Energies are from PBE.

a b c (Å): 3.963 3.963 3.963
angles (deg): 60.00 60.00 60.00
Sites, in units of the cell vectors:
As  0.750  0.750  0.750
Co  0.000  0.000  0.000
Al  0.250  0.250  0.250

Properties
final energy: -5.530 eV per atom
ρ: 6.071 g/cm3

---

[7]
Here is NiMo2N after structural relaxation from OQMD. Energies are from PBE.

a b c (Å): 4.920 4.920 14.052
angles (deg): 100.09 100.09 60.00
Sites, in units of the cell vectors:
Mo  0.633  0.466  0.898
Mo  0.034  0.200  0.100
Mo  0.300  0.133  0.900
Mo  0.966  0.800  0.900
Mo  0.367  0.534  0.102
Mo  0.800  0.966  0.400
Mo  0.534  0.367  0.602
Mo  0.867  0.700  0.600
Mo  0.700  0.867  0.100
Mo  0.133  0.300  0.400
Mo  0.200  0.034  0.600
Mo  0.466  0.633  0.398
N  0.500  0.000  0.500
N  0.335  0.830  0.000
N  0.170  0.665  0.500
N  0.830  0.335  0.500
N  0.000  0.500  0.000
N  0.665  0.170  0.000
Ni  0.584  0.076  0.750
Ni  0.244  0.756  0.750
Ni  0.756  0.244  0.250
Ni  0.416  0.924  0.250
Ni  0.924  0.416  0.750
Ni  0.076  0.584  0.250

Properties
final energy: -8.977 eV per atom
ρ: 9.139 g/cm3

---

[8]
Here is TlGaAg2S4 after structural relaxation from OQMD. Energies are from PBE.

a b c (Å): 7.011 7.011 7.011
angles (deg): 130.67 130.67 72.34
Sites, in units of the cell vectors:
S  0.613  0.151  0.994
S  0.381  0.387  0.538
S  0.849  0.843  0.462
S  0.157  0.619  0.006
Tl  0.750  0.250  0.500
Ag  0.000  0.000  0.000
Ag  0.250  0.750  0.500
Ga  0.500  0.500  0.000

Properties
final energy: -3.772 eV per atom
ρ: 5.296 g/cm3

---

[9]
Here is NbSb2Au after structural relaxation from OQMD. Energies are from PBE.

a b c (Å): 4.975 4.975 4.975
angles (deg): 60.00 60.00 60.00
Sites, in units of the cell vectors:
Sb  0.250  0.250  0.250
Sb  0.000  0.000  0.000
Nb  0.750  0.750  0.750
Au  0.500  0.500  0.500

Properties
final energy: -5.019 eV per atom
ρ: 10.175 g/cm3

---

[10]
Here is KBPt3 after structural relaxation from OQMD. Energies are from PBE.

a b c (Å): 4.271 6.297 8.107
angles (deg): 103.90 104.99 93.21
Sites, in units of the cell vectors:
B  0.917  0.267  0.010
B  0.788  0.703  0.708
K  0.045  0.043  0.515
K  0.289  0.865  0.109
Pt  0.246  0.598  0.678
Pt  0.034  0.419  0.267
Pt  0.644  0.989  0.822
Pt  0.800  0.410  0.800
Pt  0.631  0.510  0.451
Pt  0.415  0.354  0.025

Properties
final energy: -5.435 eV per atom
ρ: 10.401 g/cm3

---

[11]
Here is YMgZn2 after structural relaxation from OQMD. Energies are from PBE.

a b c (Å): 4.990 4.990 7.764
angles (deg): 90.00 90.00 120.00
Sites, in units of the cell vectors:
Zn  0.333  0.667  0.416
Zn  0.667  0.333  0.584
Zn  0.667  0.333  0.916
Zn  0.333  0.667  0.084
Mg  0.333  0.667  0.750
Mg  0.667  0.333  0.250
Y  0.000  0.000  0.250
Y  0.000  0.000  0.750

Properties
final energy: -2.562 eV per atom
ρ: 4.841 g/cm3

---

[12]
Here is NaPrHf after structural relaxation from OQMD. Energies are from PBE.

a b c (Å): 5.198 5.198 5.198
angles (deg): 60.00 60.00 60.00
Sites, in units of the cell vectors:
Na  0.250  0.250  0.250
Hf  0.000  0.000  0.000
Pr  0.750  0.750  0.750

Properties
final energy: -4.085 eV per atom
ρ: 5.724 g/cm3

---

[13]
Here is OsNCl after structural relaxation from OQMD. Energies are from PBE.

a b c (Å): 9.487 9.487 9.487
angles (deg): 20.29 20.29 20.29
Sites, in units of the cell vectors:
Os  0.118  0.118  0.118
Os  0.882  0.882  0.882
N  0.808  0.808  0.808
N  0.192  0.192  0.192
Cl  0.388  0.388  0.388
Cl  0.612  0.612  0.612

Properties
final energy: -6.731 eV per atom
ρ: 8.863 g/cm3

---

[14]
Here is MoWSe4 after structural relaxation from OQMD. Energies are from PBE.

a b c (Å): 16.243 3.316 3.316
angles (deg): 60.00 90.00 90.00
Sites, in units of the cell vectors:
Se  0.103  0.336  0.336
Se  0.604  0.835  0.835
Se  0.396  0.835  0.835
Se  0.897  0.336  0.336
Mo  0.000  0.003  0.003
W  0.500  0.502  0.502

Properties
final energy: -6.911 eV per atom
ρ: 6.393 g/cm3

---

[15]
Here is GdSbN2O after structural relaxation from OQMD. Energies are from PBE.

a b c (Å): 8.113 5.523 5.711
angles (deg): 90.00 90.00 90.00
Sites, in units of the cell vectors:
Sb  0.250  0.750  0.476
Sb  0.250  0.250  0.976
Sb  0.750  0.750  0.476
Sb  0.750  0.250  0.976
Gd  0.500  0.726  0.917
Gd  0.000  0.774  0.035
Gd  0.000  0.226  0.535
Gd  0.500  0.274  0.417
N  0.309  0.551  0.177
N  0.191  0.949  0.775
N  0.191  0.051  0.275
N  0.691  0.449  0.677
N  0.309  0.449  0.677
N  0.809  0.051  0.275
N  0.809  0.949  0.775
N  0.691  0.551  0.177
O  0.000  0.636  0.440
O  0.500  0.135  0.012
O  0.500  0.865  0.512
O  0.000  0.364  0.940

Properties
final energy: -7.046 eV per atom
ρ: 8.385 g/cm3

---

[16]
Here is NbFeReAs after structural relaxation from OQMD. Energies are from PBE.

a b c (Å): 4.358 4.358 4.358
angles (deg): 60.00 60.00 60.00
Sites, in units of the cell vectors:
As  0.000  0.000  0.000
Fe  0.750  0.750  0.750
Re  0.250  0.250  0.250
Nb  0.500  0.500  0.500

Properties
final energy: -8.692 eV per atom
ρ: 11.630 g/cm3

---

[17]
Here is ErTm6Te2Pd2 after structural relaxation from OQMD. Energies are from PBE.

a b c (Å): 9.317 9.317 9.317
angles (deg): 155.86 67.07 118.49
Sites, in units of the cell vectors:
Tm  0.373  0.056  0.317
Tm  0.772  0.416  0.356
Tm  0.739  0.056  0.683
Tm  0.394  0.265  0.130
Tm  0.135  0.265  0.870
Tm  0.060  0.416  0.644
Er  0.681  0.681  0.000
Pd  0.515  0.752  0.763
Pd  0.989  0.752  0.237
Te  0.416  0.916  0.500
Te  0.019  0.019  0.000

Properties
final energy: -5.217 eV per atom
ρ: 9.495 g/cm3

---

[18]
Here is Sm4PtBr5 after structural relaxation from OQMD. Energies are from PBE.

a b c (Å): 9.691 9.691 8.701
angles (deg): 102.94 102.94 24.48
Sites, in units of the cell vectors:
Sm  0.001  0.001  0.221
Sm  0.999  0.999  0.779
Sm  0.348  0.348  0.917
Sm  0.652  0.652  0.083
Br  0.500  0.500  0.500
Br  0.832  0.832  0.666
Br  0.175  0.175  0.844
Br  0.168  0.168  0.334
Br  0.825  0.825  0.156
Pt  0.500  0.500  0.000

Properties
final energy: -4.859 eV per atom
ρ: 6.027 g/cm3

---

[19]
Here is PaAsNO after structural relaxation from OQMD. Energies are from PBE.

a b c (Å): 3.591 3.591 8.448
angles (deg): 90.00 90.00 90.00
Sites, in units of the cell vectors:
As  0.250  0.750  0.500
As  0.750  0.250  0.500
N  0.750  0.750  0.238
N  0.250  0.250  0.762
Pa  0.250  0.250  0.180
Pa  0.750  0.750  0.820
O  0.250  0.750  0.000
O  0.750  0.250  0.000

Properties
final energy: -7.617 eV per atom
ρ: 10.244 g/cm3

---

[20]
Here is Cs2FeAgC6N6 after structural relaxation from OQMD. Energies are from PBE.

a b c (Å): 7.487 7.487 7.487
angles (deg): 60.00 60.00 60.00
Sites, in units of the cell vectors:
Ag  0.000  0.000  0.000
Cs  0.750  0.750  0.750
Cs  0.250  0.250  0.250
N  0.213  0.213  0.787
N  0.787  0.213  0.213
N  0.787  0.787  0.213
N  0.213  0.787  0.787
N  0.787  0.213  0.787
N  0.213  0.787  0.213
C  0.324  0.324  0.676
C  0.324  0.676  0.324
C  0.324  0.676  0.676
C  0.676  0.324  0.324
C  0.676  0.676  0.324
C  0.676  0.324  0.676
Fe  0.500  0.500  0.500

Properties
final energy: -7.303 eV per atom
ρ: 3.277 g/cm3